The following is a PBE+U calculation of a relaxed Nd2CoSiO6 crystal, from Alexandria.

Lattice parameters (Å, degrees): 5.3314 5.3462 5.3680 61.56 61.59 61.63
Positions (direct):
Nd  0.2492  0.2471  0.2485
Nd  0.7508  0.7529  0.7515
Co  0.5000  0.5000  0.5000
Si  0.0000  0.0000  0.0000
O  0.1637  0.3003  0.7792
O  0.2278  0.8363  0.7016
O  0.2974  0.7766  0.1665
O  0.7026  0.2234  0.8335
O  0.7722  0.1637  0.2984
O  0.8363  0.6997  0.2208

Summary:
For the magnetization, the calculation gives 3.001 μB/f.u. Its calculated total energy is -7.714 eV per atom. Its density of states at the Fermi level is 0.0 states/eV/cell.

---

The following is a PBE+U calculation of a relaxed NdCo2SnO6 crystal, from Alexandria.

Lattice parameters (Å, degrees): 5.3188 5.3842 5.6859 62.17 63.75 61.67
Positions (direct):
Nd  0.0000  0.0000  0.0000
Co  0.2201  0.2123  0.3483
Co  0.7251  0.7340  0.8060
Sn  0.5176  0.5252  0.4360
O  0.1165  0.8361  0.5965
O  0.3570  0.5429  0.1443
O  0.4311  0.1211  0.6047
O  0.5549  0.9316  0.1206
O  0.8075  0.4479  0.6280
O  0.9363  0.3670  0.1448

Summary:
For the magnetization, the calculation gives 5.000 μB/f.u. Its calculated total energy is -6.603 eV per atom.

---

The following is a PBE+U calculation of a relaxed Nd2CoSnO6 crystal, from Alexandria.

Lattice parameters (Å, degrees): 5.5765 5.8654 9.7075 90.00 124.36 90.00
Positions (direct):
Nd  0.2294  0.0637  0.2491
Nd  0.2294  0.4363  0.7491
Nd  0.7706  0.5637  0.2509
Nd  0.7706  0.9363  0.7509
Co  0.0000  0.0000  0.5000
Co  0.0000  0.5000  0.0000
Sn  0.5000  0.0000  0.0000
Sn  0.5000  0.5000  0.5000
O  0.1428  0.1951  0.9443
O  0.1428  0.3049  0.4443
O  0.2478  0.7029  0.9402
O  0.2478  0.7971  0.4402
O  0.3640  0.0408  0.7519
O  0.3640  0.4592  0.2519
O  0.6360  0.5408  0.7481
O  0.6360  0.9592  0.2481
O  0.7522  0.2029  0.5598
O  0.7522  0.2971  0.0598
O  0.8572  0.6951  0.5557
O  0.8572  0.8049  0.0557

Summary:
For the magnetization, the calculation gives 3.017 μB/f.u. Its calculated total energy is -7.253 eV per atom. Its density of states at the Fermi level is 0.0 states/eV/cell.

---

Question: Which of these has the highest calculated total energy?
Answer: NdCo2SnO6

---

Question: What is the formula in the third record?
Answer: Nd2CoSnO6

---

Question: Among the records above, which one has the lowest magnetization?
Answer: Nd2CoSiO6

---

Repeat the second record exactly.
The following is a PBE+U calculation of a relaxed NdCo2SnO6 crystal, from Alexandria.

Lattice parameters (Å, degrees): 5.3188 5.3842 5.6859 62.17 63.75 61.67
Positions (direct):
Nd  0.0000  0.0000  0.0000
Co  0.2201  0.2123  0.3483
Co  0.7251  0.7340  0.8060
Sn  0.5176  0.5252  0.4360
O  0.1165  0.8361  0.5965
O  0.3570  0.5429  0.1443
O  0.4311  0.1211  0.6047
O  0.5549  0.9316  0.1206
O  0.8075  0.4479  0.6280
O  0.9363  0.3670  0.1448

Summary:
For the magnetization, the calculation gives 5.000 μB/f.u. Its calculated total energy is -6.603 eV per atom.